Entry 1:
Ho2Si4Rh5 (PBE, relaxed); SG = Fmmm, No. 69; crystal system = orthorhombic; D(E_F) = 4.47 states/eV/cell; formation energy without anion corrections = -0.97 eV per atom; E = -7.11 eV/atom
1.0
5.598 0.000 0.000
2.799 4.749 0.000
2.799 0.000 6.960
Ho Si Rh
2 4 5
Direct
0.872 0.000 0.257 Ho
0.128 0.000 0.743 Ho
0.482 0.302 0.734 Si
0.518 0.698 0.266 Si
0.216 0.302 0.266 Si
0.784 0.698 0.734 Si
0.500 0.000 0.000 Rh
0.000 0.500 0.000 Rh
0.500 0.500 0.000 Rh
0.250 0.500 0.500 Rh
0.750 0.500 0.500 Rh


Entry 2:
HoSi4Rh2 (PBE, relaxed); SG = C2/m, No. 12; crystal system = monoclinic; D(E_F) = 2.34 states/eV/cell; formation energy without anion corrections = -0.48 eV per atom; E = -6.34 eV/atom
1.0
4.930 0.017 2.453
2.473 4.971 1.240
0.281 0.018 5.682
Ho Si Rh
1 4 2
Direct
0.500 0.000 0.000 Ho
0.765 0.237 0.237 Si
0.000 0.237 0.763 Si
0.000 0.763 0.237 Si
0.235 0.763 0.763 Si
0.250 0.501 0.501 Rh
0.750 0.499 0.499 Rh


Entry 3:
Ho2SiSnRh6 (PBE, relaxed); SG = C2/m, No. 12; crystal system = monoclinic; D(E_F) = 10.13 states/eV/cell; formation energy without anion corrections = -0.48 eV per atom; E = -6.75 eV/atom
1.0
-4.630 3.693 -1.317
-4.288 -3.609 4.895
-3.818 2.350 5.950
Ho Si Sn Rh
2 1 1 6
Direct
0.766 0.234 0.468 Ho
0.234 0.766 0.532 Ho
0.500 0.500 0.000 Si
0.000 0.000 0.000 Sn
0.257 0.186 0.485 Rh
0.813 0.743 0.929 Rh
0.257 0.742 0.928 Rh
0.743 0.258 0.072 Rh
0.187 0.257 0.071 Rh
0.743 0.814 0.515 Rh


Entry 4:
HoTh2Si2Rh7 (PBE, relaxed); SG = C2/m, No. 12; crystal system = monoclinic; D(E_F) = 5.93 states/eV/cell; formation energy without anion corrections = -0.90 eV per atom; E = -7.71 eV/atom
1.0
4.092 0.018 -0.109
0.023 4.092 -0.109
1.631 1.629 12.871
Ho Th Si Rh
1 2 2 7
Direct
0.000 0.000 0.000 Ho
0.901 0.901 0.347 Th
0.099 0.099 0.653 Th
0.577 0.577 0.749 Si
0.423 0.423 0.251 Si
0.500 0.500 0.000 Rh
0.348 0.348 0.432 Rh
0.652 0.652 0.568 Rh
0.950 0.450 0.162 Rh
0.450 0.950 0.162 Rh
0.550 0.050 0.838 Rh
0.050 0.550 0.838 Rh


Entry 5:
Ho2TiSi2Rh5 (PBE, relaxed); SG = P4/mbm, No. 127; crystal system = tetragonal; D(E_F) = 6.30 states/eV/cell; formation energy without anion corrections = -0.96 eV per atom; E = -7.43 eV/atom
1.0
3.513 0.000 0.000
0.000 9.662 0.000
0.000 0.000 9.662
Ho Ti Si Rh
4 2 4 10
Direct
0.000 0.674 0.174 Ho
0.000 0.326 0.826 Ho
0.000 0.174 0.326 Ho
0.000 0.826 0.674 Ho
0.000 0.000 0.000 Ti
0.000 0.500 0.500 Ti
0.000 0.124 0.624 Si
0.000 0.876 0.376 Si
0.000 0.624 0.876 Si
0.000 0.376 0.124 Si
0.500 0.210 0.068 Rh
0.500 0.790 0.932 Rh
0.500 0.068 0.790 Rh
0.500 0.710 0.432 Rh
0.500 0.932 0.210 Rh
0.500 0.290 0.568 Rh
0.500 0.568 0.710 Rh
0.500 0.432 0.290 Rh
0.500 0.500 0.000 Rh
0.500 0.000 0.500 Rh


Entry 6:
HoTm2Si2Rh5 (PBE, relaxed); SG = P4/mbm, No. 127; crystal system = tetragonal; D(E_F) = 7.97 states/eV/cell; formation energy without anion corrections = -1.03 eV per atom; E = -7.14 eV/atom
1.0
3.527 0.000 0.000
0.000 9.892 0.000
0.000 0.000 9.892
Ho Tm Si Rh
2 4 4 10
Direct
0.000 0.000 0.000 Ho
0.000 0.500 0.500 Ho
0.000 0.673 0.173 Tm
0.000 0.327 0.827 Tm
0.000 0.173 0.327 Tm
0.000 0.827 0.673 Tm
0.000 0.124 0.624 Si
0.000 0.876 0.376 Si
0.000 0.624 0.876 Si
0.000 0.376 0.124 Si
0.500 0.220 0.071 Rh
0.500 0.780 0.929 Rh
0.500 0.071 0.780 Rh
0.500 0.720 0.429 Rh
0.500 0.929 0.220 Rh
0.500 0.280 0.571 Rh
0.500 0.571 0.720 Rh
0.500 0.429 0.280 Rh
0.500 0.500 0.000 Rh
0.500 0.000 0.500 Rh


Entry 7:
Sm3HoRh (PBE, relaxed); SG = Pmn2_1, No. 31; crystal system = orthorhombic; D(E_F) = 12.62 states/eV/cell; distance to the lowest polymorph of the same formula = 114 meV/atom; energy of formation from the pure elements = -246 meV per atom; E = -5.46 eV/atom
1.0
-3.267 5.261 -0.780
-4.479 -2.139 4.338
3.954 3.302 5.710
Sm Ho Rh
6 2 2
Direct
0.420 0.327 0.201 Sm
0.425 0.865 0.949 Sm
0.925 0.488 0.449 Sm
0.920 0.026 0.701 Sm
0.925 0.488 0.952 Sm
0.425 0.865 0.452 Sm
0.432 0.333 0.701 Ho
0.932 0.020 0.201 Ho
0.176 0.671 0.701 Rh
0.676 0.682 0.201 Rh


Entry 8:
Sm2HoRh3 (PBE, relaxed); SG = P4/mmm, No. 123; crystal system = tetragonal; D(E_F) = 4.42 states/eV/cell; distance to the lowest polymorph of the same formula = 4 meV/atom; energy of formation from the pure elements = -775 meV per atom; E = -6.79 eV/atom
1.0
3.463 0.000 0.000
0.000 3.463 0.000
0.000 0.000 10.456
Sm Ho Rh
2 1 3
Direct
0.500 0.500 0.831 Sm
0.500 0.500 0.169 Sm
0.500 0.500 0.500 Ho
0.000 0.000 0.000 Rh
0.000 0.000 0.659 Rh
0.000 0.000 0.341 Rh


Entry 9:
Sm3HoRh4 (PBE, relaxed); SG = P4/mmm, No. 123; crystal system = tetragonal; D(E_F) = 5.60 states/eV/cell; energy of formation from the pure elements = -752 meV per atom; E = -6.77 eV/atom
1.0
3.428 0.000 0.000
0.000 3.428 0.000
0.000 0.000 14.325
Rh Ho Sm
4 1 3
Direct
0.000 0.000 0.881 Rh
0.000 0.000 0.119 Rh
0.000 0.000 0.373 Rh
0.000 0.000 0.627 Rh
0.500 0.500 0.000 Ho
0.500 0.500 0.247 Sm
0.500 0.500 0.500 Sm
0.500 0.500 0.753 Sm


Entry 10:
SmHo2Rh2 (PBE, relaxed); SG = Cmcm, No. 63; crystal system = orthorhombic; D(E_F) = 7.68 states/eV/cell; distance to the lowest polymorph of the same formula = 0 meV/atom; energy of formation from the pure elements = -610 meV per atom; E = -6.33 eV/atom
1.0
-0.978 3.085 -2.055
-3.904 0.433 2.509
6.815 6.135 9.542
Sm Ho Rh
2 4 4
Direct
0.363 0.250 0.726 Sm
0.637 0.750 0.274 Sm
0.052 0.250 0.103 Ho
0.948 0.750 0.897 Ho
0.736 0.250 0.472 Ho
0.264 0.750 0.528 Ho
0.163 0.250 0.325 Rh
0.837 0.750 0.675 Rh
0.468 0.250 0.936 Rh
0.532 0.750 0.064 Rh


Entry 11:
SmHo2Rh9 (PBE, relaxed); SG = R-3m, No. 166; crystal system = trigonal; D(E_F) = 13.29 states/eV/cell; energy of formation from the pure elements = -570 meV per atom; E = -7.24 eV/atom
1.0
5.051 0.000 1.503
2.302 4.496 1.503
-0.010 -0.006 9.271
Sm Ho Rh
1 2 9
Direct
0.000 0.000 0.000 Sm
0.861 0.861 0.418 Ho
0.139 0.139 0.582 Ho
0.667 0.667 0.999 Rh
0.333 0.333 0.001 Rh
0.500 0.500 0.500 Rh
0.417 0.417 0.249 Rh
0.917 0.417 0.249 Rh
0.417 0.917 0.249 Rh
0.583 0.583 0.751 Rh
0.583 0.083 0.751 Rh
0.083 0.583 0.751 Rh


Entry 12:
Sm2HoRh3 (PBE, relaxed); SG = P-3m1, No. 164; crystal system = trigonal; D(E_F) = 4.64 states/eV/cell; distance to the lowest polymorph of the same formula = 0 meV/atom; energy of formation from the pure elements = -779 meV per atom; E = -6.79 eV/atom
1.0
4.908 0.000 0.000
-2.454 4.251 0.000
0.000 0.000 6.007
Sm Ho Rh
2 1 3
Direct
0.667 0.333 0.332 Sm
0.333 0.667 0.668 Sm
0.000 0.000 0.000 Ho
0.000 0.000 0.500 Rh
0.667 0.333 0.840 Rh
0.333 0.667 0.160 Rh